# 1
# BaReTe, optimized geometry, DFT GGA-PBE
# * electronic total energy: -4.514 eV/atom
# * crystal system: cubic
# * ΔE to the lowest computed polymorph: 1037 meV per atom
# * E_form (uncorrected): 1.324 eV per atom
# * size of the total moment: 20.022 Bohr magnetons per cell
data_BaReTe
_chemical_formula_sum 'Ba4 Re4 Te4'
_cell_length_a 7.9843
_cell_length_b 7.9843
_cell_length_c 7.9843
_cell_angle_alpha 90.00
_cell_angle_beta 90.00
_cell_angle_gamma 90.00
_symmetry_space_group_name_H-M 'F -4 3 m'
_symmetry_Int_Tables_number 216
_symmetry_space_group_name_Hall 'F -4 2 3'
loop_
_atom_site_label
_atom_site_fract_x
_atom_site_fract_y
_atom_site_fract_z
Ba1 0.0000 0.0000 0.0000
Re1 0.2500 0.2500 0.7500
Te1 0.2500 0.2500 0.2500

---

# 2
# Ba2ReTe, optimized geometry, DFT GGA-PBE
# * electronic total energy: -4.566 eV/atom
# * crystal system: tetragonal
# * E_form (uncorrected): 0.293 eV per atom
# * size of the total moment: 3.097 Bohr magnetons per cell
data_Ba2ReTe
_chemical_formula_sum 'Ba2 Re1 Te1'
_cell_length_a 5.8190
_cell_length_b 5.8190
_cell_length_c 4.1189
_cell_angle_alpha 90.00
_cell_angle_beta 90.00
_cell_angle_gamma 90.00
_symmetry_space_group_name_H-M 'P 4/m m m'
_symmetry_Int_Tables_number 123
_symmetry_space_group_name_Hall '-P 4 2'
loop_
_atom_site_label
_atom_site_fract_x
_atom_site_fract_y
_atom_site_fract_z
Ba1 0.0000 0.5000 0.0000
Re1 0.0000 0.0000 0.5000
Te1 0.5000 0.5000 0.5000

---

# 3
# BaRe4Te, optimized geometry, DFT GGA-PBE
# * electronic total energy: -8.170 eV/atom
# * crystal system: cubic
# * E_form (uncorrected): 0.973 eV per atom
# * size of the total moment: 0.000 Bohr magnetons per cell
data_BaRe4Te
_chemical_formula_sum 'Ba4 Re16 Te4'
_cell_length_a 7.8259
_cell_length_b 7.8259
_cell_length_c 7.8259
_cell_angle_alpha 90.00
_cell_angle_beta 90.00
_cell_angle_gamma 90.00
_symmetry_space_group_name_H-M 'F -4 3 m'
_symmetry_Int_Tables_number 216
_symmetry_space_group_name_Hall 'F -4 2 3'
loop_
_atom_site_label
_atom_site_fract_x
_atom_site_fract_y
_atom_site_fract_z
Ba1 0.0000 0.0000 0.0000
Re1 0.1233 0.1233 0.6233
Te1 0.2500 0.2500 0.2500

---

# 4
# BaRe2Te, optimized geometry, DFT GGA-PBE
# * electronic total energy: -7.098 eV/atom
# * crystal system: monoclinic
# * E_form (uncorrected): 0.392 eV per atom
# * size of the total moment: 0.000 Bohr magnetons per cell
data_BaRe2Te
_chemical_formula_sum 'Ba1 Re2 Te1'
_cell_length_a 3.2511
_cell_length_b 3.2797
_cell_length_c 9.0754
_cell_angle_alpha 90.00
_cell_angle_beta 100.25
_cell_angle_gamma 90.00
_symmetry_space_group_name_H-M 'P 1 m 1'
_symmetry_Int_Tables_number 6
_symmetry_space_group_name_Hall 'P -2y'
loop_
_atom_site_label
_atom_site_fract_x
_atom_site_fract_y
_atom_site_fract_z
Ba1 0.0000 0.0000 0.0000
Re1 0.2092 0.0000 0.4196
Re2 0.6423 0.5000 0.2850
Te1 0.3388 0.5000 0.6775

---

# 5
# BaRe2Te, optimized geometry, DFT GGA-PBE
# * electronic total energy: -6.008 eV/atom
# * crystal system: orthorhombic
# * E_form (uncorrected): 1.483 eV per atom
# * size of the total moment: 0.000 Bohr magnetons per cell
data_BaRe2Te
_chemical_formula_sum 'Ba2 Re4 Te2'
_cell_length_a 3.3650
_cell_length_b 5.3763
_cell_length_c 9.6207
_cell_angle_alpha 90.00
_cell_angle_beta 90.00
_cell_angle_gamma 90.00
_symmetry_space_group_name_H-M 'C m m m'
_symmetry_Int_Tables_number 65
_symmetry_space_group_name_Hall '-C 2 2'
loop_
_atom_site_label
_atom_site_fract_x
_atom_site_fract_y
_atom_site_fract_z
Ba1 0.0000 0.0000 0.0000
Re1 0.0000 0.5000 0.2870
Te1 0.0000 0.0000 0.5000

---

# 6
# BaReTe, optimized geometry, DFT GGA-PBE
# * electronic total energy: -5.495 eV/atom
# * crystal system: tetragonal
# * ΔE to the lowest computed polymorph: 56 meV per atom
# * E_form (uncorrected): 0.343 eV per atom
# * size of the total moment: 0.000 Bohr magnetons per cell
data_BaReTe
_chemical_formula_sum 'Ba2 Re2 Te2'
_cell_length_a 3.5024
_cell_length_b 3.5024
_cell_length_c 12.8787
_cell_angle_alpha 90.00
_cell_angle_beta 90.00
_cell_angle_gamma 90.00
_symmetry_space_group_name_H-M 'I 4 m m'
_symmetry_Int_Tables_number 107
_symmetry_space_group_name_Hall 'I 4 -2'
loop_
_atom_site_label
_atom_site_fract_x
_atom_site_fract_y
_atom_site_fract_z
Ba1 0.0000 0.0000 0.0000
Re1 0.0000 0.0000 0.3125
Te1 0.0000 0.0000 0.7199

---

Question: Which of these has the highest size of the total moment?
Answer: number 1

---

Question: Which of these has the lowest E_form (uncorrected)?
Answer: Ba2ReTe

---

Question: What is the E_form (uncorrected) in the first record?
Answer: 1.324 eV per atom